[1]
A geometry-optimized Ta2PbW structure, computed with PBEsol.

a b c (Å): 5.7538 8.9063 2.9216
angles (deg): 90.00 102.66 90.00
Space group C2/m (No. 12)
Inequivalent atoms, fractional coordinates:
1 Ta 0.2500 0.2500 0.0000 x4
2 Pb 0.0000 0.0000 0.5000 x2
3 W 0.0000 0.5000 0.5000 x2

crystal system	monoclinic
calculated total energy	-10.238	eV/atom
energy relative to the elements	0.489	eV/atom

=====

[2]
A geometry-optimized NaCuOs3 structure, computed with PBEsol.

a b c (Å): 4.3781 4.3781 4.3781
angles (deg): 90.00 90.00 90.00
Space group Pm-3m (No. 221)
Inequivalent atoms, fractional coordinates:
1 Na 0.0000 0.0000 0.0000 x1
2 Cu 0.5000 0.5000 0.5000 x1
3 Os 0.0000 0.0000 0.5000 x3

crystal system	cubic
calculated total energy	-5.074	eV/atom
energy relative to the elements	3.403	eV/atom

=====

[3]
A geometry-optimized SrHg4Pb structure, computed with PBEsol.

a b c (Å): 8.5358 8.5358 8.5358
angles (deg): 90.00 90.00 90.00
Space group F-43m (No. 216)
Inequivalent atoms, fractional coordinates:
1 Sr 0.0000 0.0000 0.0000 x4
2 Hg 0.1249 0.1249 0.6249 x16
3 Pb 0.2500 0.2500 0.2500 x4

crystal system	cubic
calculated total energy	-1.623	eV/atom
energy relative to the elements	-0.272	eV/atom

=====

[4]
A geometry-optimized TaP structure, computed with PBEsol.

a b c (Å): 3.2831 3.2831 3.3148
angles (deg): 90.00 90.00 120.00
Space group P-6m2 (No. 187)
Inequivalent atoms, fractional coordinates:
1 Ta 0.0000 0.0000 0.0000 x1
2 P 0.6667 0.3333 0.5000 x1

crystal system	hexagonal
calculated total energy	-10.172	eV/atom
energy relative to the elements	-1.001	eV/atom

=====

[5]
A geometry-optimized LiVGeO5 structure, computed with PBEsol.

a b c (Å): 8.9808 9.1845 4.5693
angles (deg): 90.00 90.00 90.00
Space group Cmme (No. 67)
Inequivalent atoms, fractional coordinates:
1 Li 0.2500 0.2500 0.0000 x4
2 V 0.0000 0.2500 0.3846 x4
3 Ge 0.2500 0.0000 0.5000 x4
4 O 0.0000 0.2500 0.7362 x4
5 O 0.1437 0.1133 0.2718 x16

crystal system	orthorhombic
calculated total energy	-7.374	eV/atom
excess energy over the best structure of this formula in the dataset	25	meV/atom
formation energy (no corrections)	-2.026	eV/atom

=====

[6]
A geometry-optimized NaLaSc2Ir structure, computed with PBEsol.

a b c (Å): 5.2373 5.2373 4.9257
angles (deg): 90.00 90.00 90.00
Space group P4/mmm (No. 123)
Inequivalent atoms, fractional coordinates:
1 Na 0.0000 0.0000 0.0000 x1
2 La 0.5000 0.5000 0.5000 x1
3 Sc 0.0000 0.5000 0.5000 x2
4 Ir 0.5000 0.5000 0.0000 x1

crystal system	tetragonal
calculated total energy	-5.029	eV/atom
energy relative to the elements	0.927	eV/atom

=====

[7]
A geometry-optimized Al2FeSi3 structure, computed with PBEsol.

a b c (Å): 5.9708 5.9624 9.2058
angles (deg): 90.00 90.00 90.00
Space group Pbcn (No. 60)
Inequivalent atoms, fractional coordinates:
1 Al 0.1365 0.1267 0.1303 x8
2 Fe 0.0000 0.4829 0.2500 x4
3 Si 0.0000 0.5000 0.0000 x4
4 Si 0.1628 0.1757 0.8486 x8

crystal system	orthorhombic
calculated total energy	-6.003	eV/atom
formation energy (no corrections)	-0.272	eV/atom

=====

[8]
A geometry-optimized Sr2P7Cl structure, computed with PBEsol.

a b c (Å): 14.4953 12.1369 22.1109
angles (deg): 90.00 104.00 90.00
Space group C2/c (No. 15)
Inequivalent atoms, fractional coordinates:
1 Sr 0.0000 0.1393 0.2500 x4
2 Sr 0.0000 0.2799 0.7500 x4
3 Sr 0.0872 0.2011 0.9461 x8
4 Sr 0.1558 0.4900 0.6064 x8
5 Sr 0.2285 0.4938 0.3885 x8
6 P 0.0169 0.3042 0.0830 x8
7 P 0.0543 0.0511 0.4426 x8
8 P 0.0749 0.3095 0.5108 x8
9 P 0.0769 0.1385 0.0884 x8
10 P 0.0883 0.2897 0.3614 x8
11 P 0.1110 0.1341 0.6663 x8
12 P 0.1555 0.1628 0.5079 x8
13 P 0.1557 0.1275 0.8274 x8
14 P 0.1636 0.1488 0.4078 x8
15 P 0.1666 0.0271 0.7469 x8
16 P 0.1672 0.2878 0.2417 x8
17 P 0.1799 0.4645 0.2453 x8
18 P 0.1973 0.2760 0.6981 x8
19 P 0.2267 0.2734 0.8076 x8
20 Cl 0.0361 0.4042 0.8655 x8
21 Cl 0.2153 0.3886 0.0037 x8

crystal system	monoclinic
calculated total energy	-5.387	eV/atom
formation energy (no corrections)	-0.764	eV/atom

=====

[9]
A geometry-optimized Sc3Ag structure, computed with PBEsol.

a b c (Å): 3.2157 3.2157 8.3140
angles (deg): 90.00 90.00 90.00
Space group P4/mmm (No. 123)
Inequivalent atoms, fractional coordinates:
1 Sc 0.0000 0.0000 0.0000 x1
2 Sc 0.5000 0.5000 0.2753 x2
3 Ag 0.0000 0.0000 0.5000 x1

crystal system	tetragonal
calculated total energy	-5.883	eV/atom
excess energy over the best structure of this formula in the dataset	48	meV/atom
energy relative to the elements	-0.102	eV/atom

=====

[10]
A geometry-optimized AlTeRh2 structure, computed with PBEsol.

a b c (Å): 6.3681 6.3681 6.3681
angles (deg): 90.00 90.00 90.00
Space group F-43m (No. 216)
Inequivalent atoms, fractional coordinates:
1 Al 0.0000 0.0000 0.0000 x4
2 Te 0.2500 0.2500 0.7500 x4
3 Rh 0.0000 0.0000 0.5000 x4
4 Rh 0.2500 0.2500 0.2500 x4

crystal system	cubic
calculated total energy	-5.895	eV/atom
excess energy over the best structure of this formula in the dataset	510	meV/atom
formation energy (no corrections)	0.078	eV/atom

=====

[11]
A geometry-optimized SrMg2Tc structure, computed with PBEsol.

a b c (Å): 3.4750 3.4750 7.8493
angles (deg): 90.00 90.00 90.00
Space group P4mm (No. 99)
Inequivalent atoms, fractional coordinates:
1 Sr 0.0000 0.0000 0.0000 x1
2 Mg 0.0000 0.0000 0.4129 x1
3 Mg 0.5000 0.5000 0.6387 x1
4 Tc 0.5000 0.5000 0.2673 x1

crystal system	tetragonal
calculated total energy	-3.644	eV/atom
excess energy over the best structure of this formula in the dataset	0	meV/atom
energy relative to the elements	0.491	eV/atom

=====

[12]
A geometry-optimized LaCr3Tc structure, computed with PBEsol.

a b c (Å): 4.5950 4.5950 4.5950
angles (deg): 90.00 90.00 90.00
Space group Pm-3m (No. 221)
Inequivalent atoms, fractional coordinates:
1 La 0.0000 0.0000 0.0000 x1
2 Cr 0.0000 0.5000 0.5000 x3
3 Tc 0.5000 0.5000 0.5000 x1

crystal system	cubic
calculated total energy	-8.563	eV/atom
energy relative to the elements	0.905	eV/atom